The following is a GGA+U calculation of a relaxed Li7Mn2Co3O12 crystal, from Alexandria.

a b c (Å): 2.9693 7.5910 10.1431
angles (deg): 106.49 88.12 99.26
Closest atoms and distances in Å follow each position.
Element x y z (fractional)
1 Li 0.8228 0.6638 0.7263  3 O 1.99-2.08
2 Li 0.1850 0.3394 0.2620  5 O 2.01-2.25
3 Li 0.4534 0.9913 0.7315  3 O 1.95-2.10
4 Li 0.1339 0.3147 0.7316  4 O 1.97-2.13
5 Li 0.5348 0.0249 0.2720  4 O 1.96-2.14
6 Li 0.8646 0.6806 0.2764  4 O 2.00-2.21
7 Li 0.3401 0.6715 0.5036  6 O 2.03-2.23
8 Mn 0.0054 0.0021 0.9995  4 O 1.92-2.05
9 Mn 0.3170 0.6569 0.9974  6 O 1.93-1.99
10 Co 0.6822 0.3321 0.0017  6 O 1.93-1.97
11 Co 0.9855 0.9844 0.4974  3 O 1.81-2.02
12 Co 0.6723 0.3462 0.5010  3 O 1.77-1.91
13 O 0.3808 0.8294 0.8867  2 Mn 1.94-1.95
14 O 0.7435 0.4827 0.3846  1 Co 1.77
15 O 0.1379 0.1898 0.8954  2 Co 1.96-1.97, 1 Mn 1.99, 1 Li 2.13
16 O 0.7675 0.5082 0.8938  1 Co 1.94, 2 Mn 1.97
17 O 0.0667 0.1725 0.3889  3 Li 1.99-2.06, 3 Co 1.99-2.19
18 O 0.4232 0.8435 0.3777  4 Li 1.96-2.05, 2 Co 1.98-2.06
19 O 0.2650 0.4893 0.6183  2 Co 1.91-2.12, 4 Li 1.97-2.08
20 O 0.6198 0.1614 0.1135  1 Mn 1.92, 1 Co 1.93, 1 Li 2.14
21 O 0.9118 0.8542 0.6230  1 Co 1.81, 3 Li 1.95-1.99
22 O 0.5852 0.1755 0.6092  2 Co 1.91-2.08, 3 Li 2.01-2.10
23 O 0.8700 0.8050 0.1037  3 Mn 1.97-2.05
24 O 0.2317 0.4805 0.1047  1 Mn 1.93, 2 Co 1.97, 1 Li 2.15

Mass density (g cm⁻³): 4.0
Final energy (Ry/atom): -0.4286